1.
Compound: KScTe4
Source: the Alexandria database
Functional: PBE
Structure: optimized geometry

Lattice parameters (Å, degrees): 6.687 6.687 8.809 90.00 90.00 90.00
Element x y z (fractional)
K1 0.250 0.250 0.000
K2 0.750 0.750 0.000
Sc1 0.250 0.250 0.500
Sc2 0.750 0.750 0.500
Te1 0.099 0.599 0.302
Te2 0.099 0.901 0.698
Te3 0.401 0.599 0.698
Te4 0.401 0.901 0.302
Te5 0.599 0.099 0.698
Te6 0.599 0.401 0.302
Te7 0.901 0.099 0.302
Te8 0.901 0.401 0.698

Values from the calculation:
ΔE to the lowest computed polymorph: 0 meV/atom
SG: No. 125
DFT total energy: -4.153 eV per atom
size of the total moment: 0.000 Bohr magnetons per cell

2.
Compound: Te2Au
Source: the Alexandria database
Functional: PBE
Structure: optimized geometry

Lattice parameters (Å, degrees): 12.011 12.011 12.011 161.21 160.73 27.04
Element x y z (fractional)
Te1 0.298 0.048 0.250
Te2 0.425 0.175 0.250
Te3 0.575 0.825 0.750
Te4 0.702 0.952 0.750
Au1 0.058 0.308 0.750
Au2 0.942 0.692 0.250

Values from the calculation:
SG: No. 74
DFT total energy: -3.059 eV per atom
size of the total moment: 0.000 Bohr magnetons per cell

3.
Compound: RhN2OF
Source: the Alexandria database
Functional: PBE
Structure: optimized geometry

Lattice parameters (Å, degrees): 3.600 3.600 3.743 90.00 90.00 90.00
Element x y z (fractional)
Rh1 0.000 0.000 0.000
N1 0.000 0.500 0.500
N2 0.500 0.000 0.500
O1 0.500 0.500 0.000
F1 0.500 0.500 0.500

Values from the calculation:
SG: No. 123
DFT total energy: -3.802 eV per atom
size of the total moment: 0.001 Bohr magnetons per cell